Record 1
Compound: Cu13As2
Source: the Alexandria database
Functional: PBE-GGA
Structure: optimized geometry

Cell and atoms, written as POSCAR:
```
Cu13As2
1.0
5.818 0.000 2.922
2.176 5.396 2.922
-0.007 -0.004 7.267
Cu As
13 2
Direct
0.500 0.500 0.500
0.997 0.609 0.784
0.609 0.609 0.784
0.609 0.997 0.784
0.391 0.003 0.216
0.003 0.391 0.216
0.391 0.391 0.216
0.120 0.747 0.386
0.747 0.747 0.386
0.747 0.120 0.386
0.253 0.880 0.614
0.880 0.253 0.614
0.253 0.253 0.614
0.631 0.631 0.106
0.369 0.369 0.894
```

D(E_F): 0.391 states/eV per atom
Energy above the lowest structure with this stoichiometry: 232.1 meV per atom
Total magnetization: 0.00 Bohr magnetons per cell
Formation energy: 0.2626 eV/atom
Space group: R-3m
V: 228.3 Å³/cell
E_tot: -3.91 eV/atom

Record 2
Compound: CuAs2
Source: the Alexandria database
Functional: PBE-GGA
Structure: optimized geometry

Cell and atoms, written as POSCAR:
```
CuAs2
1.0
3.642 0.000 0.000
0.000 7.113 0.000
0.000 0.000 8.518
As Cu
8 4
Direct
0.250 0.947 0.860
0.750 0.553 0.360
0.250 0.447 0.640
0.750 0.053 0.140
0.250 0.053 0.360
0.750 0.447 0.860
0.250 0.553 0.140
0.750 0.947 0.640
0.250 0.750 0.500
0.750 0.750 0.000
0.250 0.250 0.000
0.750 0.250 0.500
```

D(E_F): 0.468 states/eV per atom
Total magnetization: 0.00 Bohr magnetons per cell
Formation energy: 0.1307 eV/atom
Space group: Cmce
V: 220.6 Å³/cell
E_tot: -4.33 eV/atom